Computed, not measured: crystalline CoMoAs2O8 at its relaxed geometry at the PBE+U level of DFT.

Computed properties:
Space group: P-3m1
Crystal system: trigonal
Volume in Å³ per cell: 155
Total DFT energy (no corrections) in eV per atom: -6.161
Spin magnetization in μB per formula unit: 6.951

Cell lengths 5.4743, 5.4743, 5.9898 Å; angles 90.00, 90.00, 120.00 degrees
Fractional positions:
Co: 0.0000 0.0000 0.0000
Mo: 0.0000 0.0000 0.5000
As: 0.3333 0.6667 0.6903
As: 0.6667 0.3333 0.3097
O: 0.1575 0.3151 0.7775
O: 0.1575 0.8425 0.7775
O: 0.3151 0.1575 0.2225
O: 0.3333 0.6667 0.4126
O: 0.6667 0.3333 0.5874
O: 0.6849 0.8425 0.7775
O: 0.8425 0.1575 0.2225
O: 0.8425 0.6849 0.2225